Entry from Alexandria: an optimized crystal structure of SrMg2Br (PBE).

Unit cell a=9.3623 b=9.3623 c=6.1286 alpha=90.00 beta=90.00 gamma=90.00
Last column: nearest neighbours and their distance in Å.
Space group I-42d (No. 122)
Unique sites:
Sr1 0.0000 0.0000 0.0000 [4 per cell]  2 Br 3.06
Mg1 0.2138 0.2500 0.6250 [8 per cell]  2 Mg 3.14, 2 Br 3.17
Br1 0.0000 0.0000 0.5000 [4 per cell]  2 Sr 3.06, 4 Mg 3.17

Values from the calculation:
energy above the lowest structure with this stoichiometry: 171.6 meV/atom
energy relative to the elements, uncorrected: -390 meV/atom
raw total energy: -2.026 eV per atom